# 1
VASP calculation (PBE-GGA) on Pr6HoTh after structural relaxation.

Values from the calculation:
Energy relative to the elements, eV per atom: 0.043

a b c (Å): 5.1906 5.1906 10.3876
angles (deg): 90.00 90.00 90.00
Last column: nearest neighbours and their distance in Å.
Space group P4/mmm (No. 123)
Asymmetric unit:
Pr (0.0000, 0.0000, 0.0000) x1  8 Pr 3.66, 4 Th 3.67
Pr (0.0000, 0.0000, 0.5000) x1  4 Ho 3.67, 8 Pr 3.69
Pr (0.0000, 0.5000, 0.2478) x4  2 Th 3.66, 8 Pr 3.66-3.69, 2 Ho 3.69
Ho (0.5000, 0.5000, 0.5000) x1  12 Pr 3.67-3.69
Th (0.5000, 0.5000, 0.0000) x1  12 Pr 3.66-3.67

# 2
VASP calculation (PBE-GGA) on Ti4NbC4 after structural relaxation.

Values from the calculation:
Energy relative to the elements, eV per atom: -0.737

a b c (Å): 6.9514 6.9514 4.3138
angles (deg): 90.00 90.00 90.00
Last column: nearest neighbours and their distance in Å.
Space group I4/m (No. 87)
Asymmetric unit:
Ti (0.1107, 0.3147, 0.0000) x8  5 C 2.07-2.24
Nb (0.0000, 0.0000, 0.5000) x2  4 C 2.20
C (0.0996, 0.3004, 0.5000) x8  5 Ti 2.07-2.24, 1 Nb 2.20

# 3
VASP calculation (PBE-GGA) on Yb5Mg after structural relaxation.

Values from the calculation:
Energy relative to the elements, eV per atom: -0.121
Polymorph energy (0 for the lowest one), meV/atom: 0

a b c (Å): 6.2538 6.2538 5.9112
angles (deg): 90.00 90.00 120.00
Last column: nearest neighbours and their distance in Å.
Space group P-62m (No. 189)
Asymmetric unit:
Yb (0.0000, 0.3251, 0.0000) x3  10 Yb 3.52-3.66, 2 Mg 3.59
Yb (0.3333, 0.6667, 0.5000) x2  3 Mg 3.61, 9 Yb 3.61-3.63
Mg (0.0000, 0.0000, 0.5000) x1  12 Yb 3.59-3.61

# 4
VASP calculation (PBE-GGA) on MgZnRu after structural relaxation.

Values from the calculation:
Energy relative to the elements, eV per atom: -0.117

a b c (Å): 5.0887 5.1134 7.4401
angles (deg): 90.00 90.00 90.00
Last column: nearest neighbours and their distance in Å.
Space group Imma (No. 74)
Asymmetric unit:
Mg (0.0000, 0.2500, 0.1338) x4  6 Zn 2.98-3.13, 6 Ru 3.01-3.02, 4 Mg 3.08-3.24
Zn (0.2500, 0.2500, 0.7500) x4  2 Zn 2.54, 4 Ru 2.59
Ru (0.0000, 0.0000, 0.5000) x4  2 Ru 2.56, 4 Zn 2.59

# 5
VASP calculation (PBE-GGA) on CuHgSe2 after structural relaxation.

Values from the calculation:
E_form (uncorrected), meV per atom: 82

a b c (Å): 3.2831 25.3363 4.2189
angles (deg): 90.00 90.00 90.00
Last column: nearest neighbours and their distance in Å.
Space group Cmcm (No. 63)
Asymmetric unit:
Cu (0.0000, 0.1922, 0.2500) x4  3 Se 2.43-2.56
Hg (0.0000, 0.4585, 0.2500) x4  2 Se 2.81, 2 Hg 2.98
Se (0.0000, 0.2880, 0.2500) x4  1 Cu 2.43
Se (0.0000, 0.3852, 0.7500) x4  2 Cu 2.56, 2 Hg 2.81

# 6
VASP calculation (PBE-GGA) on LaDyGa3 after structural relaxation.

Values from the calculation:
Energy relative to the elements, eV per atom: -0.671

a b c (Å): 4.3910 25.8853 4.2429
angles (deg): 90.00 90.00 90.00
Last column: nearest neighbours and their distance in Å.
Space group Cmcm (No. 63)
Asymmetric unit:
La (0.0000, 0.0746, 0.2500) x4  12 Ga 3.29-3.47
Dy (0.0000, 0.2037, 0.7500) x4  7 Ga 3.05-3.12
Ga (0.0000, 0.3216, 0.7500) x4  2 Ga 2.58
Ga (0.0000, 0.3782, 0.2500) x4  3 Ga 2.52-2.58
Ga (0.0000, 0.4756, 0.2500) x4  3 Ga 2.47-2.52

# 7
VASP calculation (PBE-GGA) on MnNiSbRh after structural relaxation.

Values from the calculation:
E_form (uncorrected), meV per atom: -193

a b c (Å): 6.2062 6.2062 6.2062
angles (deg): 90.00 90.00 90.00
Last column: nearest neighbours and their distance in Å.
Space group F-43m (No. 216)
Asymmetric unit:
Mn (0.0000, 0.0000, 0.0000) x4  4 Ni 2.69, 4 Rh 2.69
Ni (0.2500, 0.2500, 0.7500) x4  4 Sb 2.69, 4 Mn 2.69
Sb (0.0000, 0.0000, 0.5000) x4  4 Rh 2.69, 4 Ni 2.69
Rh (0.2500, 0.2500, 0.2500) x4  4 Mn 2.69, 4 Sb 2.69

# 8
VASP calculation (PBE-GGA) on NaH3Pd after structural relaxation.

Values from the calculation:
Polymorph energy (0 for the lowest one), meV/atom: 63

a b c (Å): 5.0692 5.0696 5.5364
angles (deg): 90.05 117.12 119.93
Last column: nearest neighbours and their distance in Å.
Space group P-1 (No. 2)
Asymmetric unit:
Na (0.2270, 0.1139, 0.3411) x2  3 H 2.21
H (0.1326, 0.6502, 0.1996) x2  2 Pd 1.78-1.80
H (0.2841, 0.9342, 0.8001) x2  2 Pd 1.78-1.80
H (0.4511, 0.5169, 0.8002) x2  2 Pd 1.78-1.80
Pd (0.3355, 0.6679, 0.0034) x2  6 H 1.78-1.80

# 9
VASP calculation (PBE-GGA) on BaAg2SbAu4 after structural relaxation.

Values from the calculation:
E_form (uncorrected), meV per atom: -180

a b c (Å): 4.6973 4.6973 29.9943
angles (deg): 90.00 90.00 120.00
Last column: nearest neighbours and their distance in Å.
Space group R-3m (No. 166, hexagonal axes)
Asymmetric unit:
Ba (0.0000, 0.0000, 0.0000) x3  8 Au 3.40-3.74
Ag (0.0000, 0.0000, 0.2410) x6  6 Au 2.80-2.88
Sb (0.0000, 0.0000, 0.5000) x3  8 Au 2.94-2.99
Au (0.0000, 0.0000, 0.1248) x6  3 Ag 2.88, 3 Sb 2.99, 3 Au 3.19
Au (0.0000, 0.0000, 0.4019) x6  3 Ag 2.80, 1 Sb 2.94

# 10
VASP calculation (PBE-GGA) on NaBiTeSe after structural relaxation.

Values from the calculation:
E_form (uncorrected), meV per atom: -607

a b c (Å): 4.3236 4.3236 23.1167
angles (deg): 90.00 90.00 120.00
Last column: nearest neighbours and their distance in Å.
Space group R3m (No. 160, hexagonal axes)
Asymmetric unit:
Na (0.0000, 0.0000, 0.0000) x3  3 Se 3.14, 3 Te 3.34
Bi (0.0000, 0.0000, 0.1558) x3  3 Se 3.02, 3 Te 3.13
Te (0.0000, 0.0000, 0.5709) x3  3 Bi 3.13, 3 Na 3.34
Se (0.0000, 0.0000, 0.7492) x3  3 Bi 3.02, 3 Na 3.14

# 11
VASP calculation (PBE-GGA) on Ca2PrGa after structural relaxation.

Values from the calculation:
Energy relative to the elements, eV per atom: -0.085
Polymorph energy (0 for the lowest one), meV/atom: 131

a b c (Å): 3.7411 3.7411 32.6747
angles (deg): 90.00 90.00 120.00
Last column: nearest neighbours and their distance in Å.
Space group R3m (No. 160, hexagonal axes)
Asymmetric unit:
Ca (0.0000, 0.0000, 0.0000) x3  3 Ga 3.11
Ca (0.0000, 0.0000, 0.1966) x3  3 Ga 3.10
Pr (0.0000, 0.0000, 0.4328) x3  6 Pr 3.74, 6 Ca 3.84-3.90
Ga (0.0000, 0.0000, 0.5981) x3  6 Ca 3.10-3.11

# 12
VASP calculation (PBE-GGA) on TbZrUO6 after structural relaxation.

Values from the calculation:
E_form (uncorrected), meV per atom: -3226

a b c (Å): 5.6888 5.6888 9.1537
angles (deg): 90.00 90.00 120.00
Last column: nearest neighbours and their distance in Å.
Space group P-31c (No. 163)
Asymmetric unit:
Tb (0.3333, 0.6667, 0.2500) x2  6 O 2.30
Zr (0.0000, 0.0000, 0.0000) x2  6 O 2.17
U (0.3333, 0.6667, 0.7500) x2  6 O 2.17
O (0.0187, 0.3312, 0.6271) x12  1 U 2.17, 1 Zr 2.17, 1 Tb 2.30

# 13
VASP calculation (PBE-GGA) on Pr2NdMoN4 after structural relaxation.

Values from the calculation:
E_form (uncorrected), meV per atom: -917

a b c (Å): 3.5236 12.1405 12.4515
angles (deg): 90.00 90.00 90.00
Last column: nearest neighbours and their distance in Å.
Space group Cmcm (No. 63)
Asymmetric unit:
Pr (0.0000, 0.1315, 0.0399) x8  5 N 2.43-2.69
Nd (0.0000, 0.4083, 0.2500) x4  6 N 2.61-2.84
Mo (0.0000, 0.3317, 0.7500) x4  2 N 1.90
N (0.0000, 0.0670, 0.2500) x4  2 Mo 2.15
N (0.0000, 0.2309, 0.6331) x8  1 Mo 1.90
N (0.0000, 0.5000, 0.0000) x4  4 Pr 2.43